A geometry-optimized Mn2FeSbH structure. Source: Alexandria, functional GGA-PBE.

CIF file:
```
data_Mn2FeSbH
_space_group_name_H-M_alt 'P 1'
_space_group_IT_number 1
_space_group_name_Hall 'P 1'
_cell_length_a 3.848
_cell_length_b 3.848
_cell_length_c 3.860
_cell_angle_alpha 90.00
_cell_angle_beta 90.00
_cell_angle_gamma 90.00
loop_
_atom_site_label
_atom_site_type_symbol
_atom_site_fract_x
_atom_site_fract_y
_atom_site_fract_z
Sb1 Sb 0.500 0.500 0.500
Mn1 Mn 0.000 0.500 0.000
Mn2 Mn 0.500 0.000 0.000
Fe1 Fe 0.000 0.000 0.500
H1 H 0.000 0.000 0.000
```

Calculated values
distance to the lowest polymorph of the same formula = 0.000 eV per atom
calculated total energy = -34.11 eV/f.u.

***

A geometry-optimized LiMnCr structure. Source: Alexandria, functional GGA-PBE.

CIF file:
```
data_LiMnCr
_space_group_name_H-M_alt 'P 1'
_space_group_IT_number 1
_space_group_name_Hall 'P 1'
_cell_length_a 4.258
_cell_length_b 4.258
_cell_length_c 4.258
_cell_angle_alpha 148.86
_cell_angle_beta 121.27
_cell_angle_gamma 67.97
loop_
_atom_site_label
_atom_site_type_symbol
_atom_site_fract_x
_atom_site_fract_y
_atom_site_fract_z
Cr1 Cr 0.993 0.993 0.000
Li1 Li 0.333 0.333 0.000
Mn1 Mn 0.674 0.674 0.000
```

Calculated values
formation energy from the elements = 366 meV/atom
distance to the lowest polymorph of the same formula = 0.054 eV per atom
calculated total energy = -19.61 eV/f.u.